Entry 1:
K2Tb2CrS6: relaxed, PBE.

Calculated values
The value obtained for the uncorrected formation energy is -1.419 eV/atom. The value obtained for the theoretical density is 3.685 g/cm3. The crystal system is monoclinic. The calculation puts the density of states at the Fermi level at 7.79 states/eV per cell. The calculation puts the calculated total energy at -61.5 eV/cell.

abc: 6.608 6.608 7.898
angles: 98.54 98.54 118.96
Positions (direct):
S 0.932 0.632 0.309
S 0.368 0.068 0.691
S 0.068 0.368 0.691
S 0.632 0.932 0.309
S 0.231 0.231 0.312
S 0.769 0.769 0.688
Tb 0.333 0.667 0.500
Tb 0.667 0.333 0.500
K 0.828 0.172 0.000
K 0.172 0.828 0.000
Cr 0.000 0.000 0.500

Entry 2:
KCrTcS3: relaxed, PBE.

Calculated values
The value obtained for the uncorrected formation energy is -0.725 eV/atom. The value obtained for the theoretical density is 3.762 g/cm3. The crystal system is monoclinic. The calculation puts the density of states at the Fermi level at 3.61 states/eV per cell. The calculation puts the calculated total energy at -75.6 eV/cell.

abc: 3.468 8.304 9.546
angles: 113.62 90.00 90.00
Positions (direct):
Cr 0.750 0.325 0.861
Cr 0.250 0.675 0.139
S 0.750 0.219 0.539
S 0.250 0.526 0.868
S 0.250 0.130 0.871
S 0.250 0.781 0.461
S 0.750 0.474 0.132
S 0.750 0.870 0.129
Tc 0.750 0.913 0.386
Tc 0.250 0.087 0.614
K 0.250 0.227 0.236
K 0.750 0.773 0.764

Entry 3:
KCrTeS: relaxed, PBE.

Calculated values
The value obtained for the uncorrected formation energy is -0.510 eV/atom. The value obtained for the theoretical density is 4.169 g/cm3. The crystal system is trigonal. The calculation puts the density of states at the Fermi level at 1.77 states/eV per cell. The calculation puts the calculated total energy at -20.0 eV/cell.

abc: 3.778 3.777 8.081
angles: 90.00 90.00 60.00
Positions (direct):
K 0.202 0.201 0.024
Cr 0.535 0.535 0.594
S 0.868 0.868 0.755
Te 0.868 0.868 0.377

Entry 4:
K2CrTeS4: relaxed, PBE.

Calculated values
The value obtained for the uncorrected formation energy is -0.604 eV/atom. The value obtained for the theoretical density is 3.328 g/cm3. The crystal system is monoclinic. The calculation puts the density of states at the Fermi level at 2.97 states/eV per cell. The calculation puts the calculated total energy at -72.6 eV/cell.

abc: 7.915 7.915 7.715
angles: 115.29 115.29 89.88
Positions (direct):
K 0.500 0.500 0.000
K 0.500 0.000 0.000
K 0.500 0.000 0.500
K 0.000 0.000 0.500
Te 0.000 0.000 0.000
Te 0.500 0.500 0.500
S 0.241 0.304 0.513
S 0.805 0.331 0.594
S 0.759 0.696 0.487
S 0.804 0.741 0.013
S 0.831 0.305 0.094
S 0.169 0.695 0.906
S 0.196 0.259 0.987
S 0.195 0.669 0.406
Cr 0.000 0.500 0.000
Cr 0.000 0.500 0.500

Entry 5:
KTiCrS3: relaxed, PBE.

Calculated values
The value obtained for the uncorrected formation energy is -1.093 eV/atom. The value obtained for the theoretical density is 3.016 g/cm3. The crystal system is monoclinic. The calculation puts the density of states at the Fermi level at 6.74 states/eV per cell. The calculation puts the calculated total energy at -75.1 eV/cell.

abc: 3.622 8.065 9.842
angles: 115.77 90.00 90.00
Positions (direct):
K 0.750 0.762 0.763
K 0.250 0.238 0.237
Cr 0.250 0.675 0.106
Cr 0.750 0.325 0.894
S 0.250 0.809 0.499
S 0.250 0.121 0.877
S 0.250 0.481 0.833
S 0.750 0.191 0.501
S 0.750 0.519 0.167
S 0.750 0.879 0.123
Ti 0.750 0.855 0.362
Ti 0.250 0.145 0.638

Entry 6:
K3Ti3CrS8: relaxed, PBE.

Calculated values
The value obtained for the uncorrected formation energy is -1.259 eV/atom. The value obtained for the theoretical density is 2.900 g/cm3. The crystal system is trigonal. The calculation puts the density of states at the Fermi level at 6.20 states/eV per cell. The calculation puts the calculated total energy at -88.5 eV/cell.

abc: 7.086 7.085 8.545
angles: 114.53 90.00 119.99
Positions (direct):
K 0.000 0.000 0.000
K 0.000 0.500 0.000
K 0.500 0.500 0.000
S 0.226 0.453 0.683
S 0.226 0.957 0.683
S 0.731 0.957 0.683
S 0.269 0.043 0.317
S 0.774 0.043 0.317
S 0.729 0.459 0.688
S 0.271 0.541 0.312
S 0.774 0.547 0.317
Ti 0.500 0.500 0.500
Ti 0.000 0.500 0.500
Ti 0.500 0.000 0.500
Cr 0.000 0.000 0.500

Entry 7:
K2TiCrS4: relaxed, PBE.

Calculated values
The value obtained for the uncorrected formation energy is -1.090 eV/atom. The value obtained for the theoretical density is 2.408 g/cm3. The crystal system is tetragonal. The calculation puts the density of states at the Fermi level at 2.54 states/eV per cell. The calculation puts the calculated total energy at -44.9 eV/cell.

abc: 6.533 6.533 6.533
angles: 101.01 113.86 113.86
Positions (direct):
K 0.000 0.000 0.000
K 0.500 0.750 0.250
S 0.124 0.251 0.666
S 0.416 0.873 0.749
S 0.876 0.542 0.127
S 0.584 0.334 0.458
Ti 0.500 0.250 0.750
Cr 0.000 0.500 0.500

Entry 8:
KTlCr2S: relaxed, PBE.

Calculated values
The value obtained for the uncorrected formation energy is 0.386 eV/atom. The value obtained for the theoretical density is 4.432 g/cm3. The crystal system is tetragonal. The calculation puts the density of states at the Fermi level at 2.77 states/eV per cell. The calculation puts the calculated total energy at -24.9 eV/cell.

abc: 4.772 6.245 4.772
angles: 90.00 90.00 90.00
Positions (direct):
Tl 0.000 0.500 0.000
K 0.500 0.500 0.500
S 0.000 0.000 0.000
Cr 0.000 0.000 0.500
Cr 0.500 0.000 0.000

Entry 9:
KTl2CrS4: relaxed, PBE.

Calculated values
The value obtained for the uncorrected formation energy is -0.542 eV/atom. The value obtained for the theoretical density is 3.941 g/cm3. The crystal system is triclinic. The calculation puts the density of states at the Fermi level at 1.96 states/eV per cell. The calculation puts the calculated total energy at -36.3 eV/cell.

abc: 6.497 6.495 7.780
angles: 114.75 114.77 89.91
Positions (direct):
Cr 0.736 0.736 0.472
K 0.986 0.486 0.972
S 0.818 0.436 0.277
S 0.459 0.842 0.277
S 0.630 0.653 0.666
S 0.036 0.013 0.666
Tl 0.486 0.986 0.972
Tl 0.236 0.236 0.473

Entry 10:
K2TmCrS4: relaxed, PBE.

Calculated values
The value obtained for the uncorrected formation energy is -1.359 eV/atom. The value obtained for the theoretical density is 3.841 g/cm3. The crystal system is monoclinic. The calculation puts the calculated total energy at -43.7 eV/cell.

abc: 3.845 6.597 7.619
angles: 107.07 90.00 90.00
Positions (direct):
S 0.500 0.748 0.805
S 0.000 0.294 0.817
S 0.500 0.252 0.195
S 0.000 0.706 0.183
K 0.500 0.000 0.500
K 0.000 0.500 0.500
Cr 0.500 0.500 0.000
Tm 0.000 0.000 0.000

Entry 11:
K2U2CrS6: relaxed, PBE.

Calculated values
The value obtained for the uncorrected formation energy is -1.225 eV/atom. The value obtained for the theoretical density is 4.649 g/cm3. The crystal system is monoclinic. The calculation puts the density of states at the Fermi level at 8.54 states/eV per cell. The calculation puts the calculated total energy at -72.6 eV/cell.

abc: 6.542 6.542 7.960
angles: 98.21 98.21 119.21
Positions (direct):
S 0.933 0.627 0.308
S 0.237 0.237 0.309
S 0.627 0.933 0.308
S 0.763 0.763 0.691
S 0.373 0.067 0.692
S 0.067 0.373 0.692
U 0.666 0.334 0.500
U 0.334 0.666 0.500
K 0.171 0.829 0.000
K 0.829 0.171 0.000
Cr 0.000 0.000 0.500

Entry 12:
K3U2CrS6: relaxed, PBE.

Calculated values
The value obtained for the uncorrected formation energy is -1.226 eV/atom. The value obtained for the theoretical density is 4.611 g/cm3. The crystal system is monoclinic. The calculation puts the density of states at the Fermi level at 17.83 states/eV per cell. The calculation puts the calculated total energy at -75.0 eV/cell.

abc: 6.875 6.875 7.719
angles: 98.51 98.51 120.03
Positions (direct):
S 0.934 0.605 0.801
S 0.738 0.738 0.197
S 0.066 0.395 0.199
S 0.395 0.066 0.199
S 0.262 0.262 0.803
S 0.605 0.934 0.801
K 0.835 0.165 0.500
K 0.165 0.835 0.500
K 0.500 0.500 0.500
U 0.333 0.667 0.000
U 0.667 0.333 0.000
Cr 0.000 0.000 0.000

Entry 13:
K2UCr2S6: relaxed, PBE.

Calculated values
The value obtained for the uncorrected formation energy is -1.111 eV/atom. The value obtained for the theoretical density is 3.875 g/cm3. The crystal system is monoclinic. The calculation puts the density of states at the Fermi level at 6.29 states/eV per cell. The calculation puts the calculated total energy at -69.7 eV/cell.

abc: 6.359 6.359 7.815
angles: 97.41 97.41 120.65
Positions (direct):
S 0.415 0.058 0.683
S 0.585 0.942 0.317
S 0.942 0.585 0.317
S 0.700 0.700 0.685
S 0.300 0.300 0.315
S 0.058 0.415 0.683
K 0.163 0.837 0.000
K 0.837 0.163 0.000
Cr 0.667 0.333 0.500
Cr 0.333 0.667 0.500
U 0.000 0.000 0.500

Entry 14:
KVCrS3: relaxed, PBE.

Calculated values
The value obtained for the uncorrected formation energy is -0.864 eV/atom. The value obtained for the theoretical density is 3.443 g/cm3. The crystal system is monoclinic. The calculation puts the density of states at the Fermi level at 2.05 states/eV per cell. The calculation puts the calculated total energy at -74.8 eV/cell.

abc: 3.372 8.154 9.444
angles: 117.73 90.00 90.00
Positions (direct):
Cr 0.750 0.301 0.830
Cr 0.250 0.699 0.170
S 0.250 0.759 0.450
S 0.750 0.241 0.550
S 0.750 0.880 0.135
S 0.750 0.472 0.119
S 0.250 0.120 0.865
S 0.250 0.528 0.881
K 0.750 0.746 0.745
K 0.250 0.254 0.255
V 0.750 0.909 0.384
V 0.250 0.091 0.616

Entry 15:
KY2CrS: relaxed, PBE.

Calculated values
The value obtained for the uncorrected formation energy is -0.024 eV/atom. The value obtained for the theoretical density is 3.648 g/cm3. The crystal system is tetragonal. The calculation puts the density of states at the Fermi level at 4.17 states/eV per cell. The calculation puts the calculated total energy at -27.9 eV/cell.

abc: 5.478 4.565 5.478
angles: 90.00 90.00 90.00
Positions (direct):
Y 0.500 0.000 0.000
Y 0.000 0.000 0.500
Cr 0.000 0.500 0.000
K 0.500 0.500 0.500
S 0.000 0.000 0.000

Entry 16:
K3Y3CrS8: relaxed, PBE.

Calculated values
The value obtained for the uncorrected formation energy is -1.546 eV/atom. The value obtained for the theoretical density is 2.890 g/cm3. The crystal system is trigonal. The calculation puts the density of states at the Fermi level at 8.10 states/eV per cell. The calculation puts the calculated total energy at -88.5 eV/cell.

abc: 7.805 7.807 8.785
angles: 116.40 90.00 120.00
Positions (direct):
S 0.761 0.973 0.686
S 0.788 0.027 0.314
S 0.788 0.575 0.314
S 0.239 0.027 0.314
S 0.212 0.425 0.686
S 0.212 0.973 0.686
S 0.265 0.531 0.296
S 0.735 0.469 0.704
Cr 0.000 0.000 0.500
Y 0.500 0.000 0.500
Y 0.000 0.500 0.500
Y 0.500 0.500 0.500
K 0.000 0.500 0.000
K 0.000 0.000 0.000
K 0.500 0.500 0.000

Entry 17:
K3Zr2CrS6: relaxed, PBE.

Calculated values
The value obtained for the uncorrected formation energy is -1.286 eV/atom. The value obtained for the theoretical density is 3.313 g/cm3. The crystal system is monoclinic. The calculation puts the density of states at the Fermi level at 8.31 states/eV per cell. The calculation puts the calculated total energy at -70.2 eV/cell.

abc: 6.558 6.558 7.643
angles: 98.24 98.24 119.99
Positions (direct):
S 0.064 0.392 0.193
S 0.392 0.064 0.193
S 0.737 0.737 0.194
S 0.608 0.936 0.807
S 0.263 0.263 0.806
S 0.936 0.608 0.807
K 0.168 0.832 0.500
K 0.832 0.168 0.500
K 0.500 0.500 0.500
Cr 0.000 0.000 0.000
Zr 0.334 0.666 0.000
Zr 0.666 0.334 0.000

Entry 18:
K3Zr3CrS8: relaxed, PBE.

Calculated values
The value obtained for the uncorrected formation energy is -1.384 eV/atom. The value obtained for the theoretical density is 3.245 g/cm3. The crystal system is trigonal. The calculation puts the density of states at the Fermi level at 6.99 states/eV per cell. The calculation puts the calculated total energy at -92.3 eV/cell.

abc: 7.384 7.388 8.694
angles: 115.12 89.99 120.02
Positions (direct):
S 0.777 0.034 0.311
S 0.266 0.533 0.299
S 0.734 0.467 0.701
S 0.223 0.447 0.689
S 0.258 0.034 0.311
S 0.777 0.553 0.311
S 0.742 0.966 0.689
S 0.223 0.966 0.689
K 0.500 0.500 0.000
K 0.000 0.500 0.000
K 0.000 0.000 0.000
Cr 0.000 0.000 0.500
Zr 0.000 0.500 0.500
Zr 0.500 0.000 0.500
Zr 0.500 0.500 0.500

Entry 19:
K4Zr3CrS8: relaxed, PBE.

Calculated values
The value obtained for the uncorrected formation energy is -1.344 eV/atom. The value obtained for the theoretical density is 3.365 g/cm3. The crystal system is trigonal. The calculation puts the density of states at the Fermi level at 8.69 states/eV per cell. The calculation puts the calculated total energy at -94.2 eV/cell.

abc: 7.560 8.558 7.563
angles: 116.23 119.99 90.00
Positions (direct):
Cr 0.000 0.500 0.000
K 0.500 0.000 0.000
K 0.500 0.000 0.500
K 0.000 0.000 0.000
K 0.000 0.000 0.500
S 0.229 0.694 0.457
S 0.737 0.693 0.965
S 0.263 0.307 0.035
S 0.772 0.307 0.035
S 0.734 0.702 0.468
S 0.771 0.306 0.543
S 0.266 0.298 0.532
S 0.228 0.693 0.965
Zr 0.500 0.500 0.000
Zr 0.000 0.500 0.500
Zr 0.500 0.500 0.500

Entry 20:
KCr2Sb: relaxed, PBE.

Calculated values
The value obtained for the uncorrected formation energy is 0.916 eV/atom. The value obtained for the theoretical density is 4.373 g/cm3. The crystal system is monoclinic. The calculation puts the density of states at the Fermi level at 2.81 states/eV per cell. The calculation puts the calculated total energy at -20.8 eV/cell.

abc: 5.963 6.192 3.240
angles: 75.70 88.25 118.26
Positions (direct):
Cr 0.000 0.000 0.000
Cr 0.500 0.000 0.500
K 0.000 0.500 0.500
Sb 0.500 0.500 0.000